The following is a DFT calculation (PBE with a Hubbard U) of an optimized crystal structure of Na2NbWO.

VASP energy   -4.3268 eV per atom
Magnetization   7.14 μB/cell
Calculated density   3.7 g/cm³
SG   P4/mmm (123)

Unit cell a=6.2606 b=6.2606 c=3.8661 alpha=90.00 beta=90.00 gamma=90.00
Last column: nearest neighbours and their distance in Å.
Sites, in units of the cell vectors:
Na 0.0000 0.5000 0.0000  2 Nb 3.13
Na 0.5000 0.0000 0.0000  2 Nb 3.13
Nb 0.0000 0.0000 0.0000  2 O 1.93
W 0.5000 0.5000 0.5000  8 Na 3.68, 2 W 3.87
O 0.0000 0.0000 0.5000  2 Nb 1.93